## Mo2BrCl (PBE-GGA)

Data for a relaxed structure of Mo2BrCl.

Lattice parameters (Å, degrees): 5.4348 5.4348 5.4348 148.93 118.11 70.87
Each line ends with the local moment (μB).
Fractional coordinates of all 4 atoms:
Mo1 0.0105 0.0105 0.0000  0.81
Mo2 0.4895 0.4895 0.0000  0.81
Br1 0.7500 0.2500 0.5000  0.04
Cl1 0.2500 0.7500 0.5000  0.01

- E_tot (hartree per atom) = -0.2005
- calculated volume (Å³ per cell) = 72.0
- energy above the lowest structure with this stoichiometry (meV per atom) = 976.0